DFT (PBE-GGA) results for an optimized crystal structure of SrAlZn2Te.

Cell lengths 4.8379, 4.8379, 6.5395 Å; angles 90.00, 90.00, 90.00 degrees
Last column: nearest neighbours and their distance in Å.
Space group P4/mmm (No. 123)
Asymmetric unit:
Sr 0.0000 0.0000 0.0000 x1  2 Al 3.27, 4 Te 3.42
Al 0.0000 0.0000 0.5000 x1  4 Zn 2.42
Zn 0.0000 0.5000 0.5000 x2  2 Al 2.42
Te 0.5000 0.5000 0.0000 x1  4 Sr 3.42

Total magnetic moment ... 0.5 μB/cell
Final energy ... -2.356 eV per atom